Record 1
{
  "formula": "TiCu2NiAs",
  "functional": "PBE-GGA",
  "state": "optimized geometry",
  "total_energy_ev_per_cell": -24.2,
  "formation_enthalpy_0k_ev_per_atom": 0.46,
  "magmom_total_mub_per_fu": 2.06,
  "rho_g_cm3": 6.0,
  "lattice": [[-3.0376, -0.4922, -3.1951], [-0.2269, -4.2306, 0.8675], [-3.2244, 0.7770, 2.9457]],
  "species": ["Cu", "Cu", "Ni", "Ti", "As"],
  "frac_coords": [[0.5000, 0.0000, 0.0000], [0.0000, 0.0000, 0.5000], [0.0000, 0.5000, 0.0000], [0.5000, 0.5000, 0.5000], [0.0000, 0.0000, 0.0000]]
}

Record 2
{
  "formula": "Tl2CuNiAs",
  "functional": "PBE-GGA",
  "state": "optimized geometry",
  "total_energy_ev_per_cell": -15.6,
  "formation_enthalpy_0k_ev_per_atom": 0.72,
  "magmom_total_mub_per_fu": 0.56,
  "rho_g_cm3": 8.1,
  "lattice": [[5.2136, 0.0000, 0.0000], [0.0000, 4.5441, 0.0000], [0.0000, 0.0000, 5.2136]],
  "species": ["Cu", "Ni", "As", "Tl", "Tl"],
  "frac_coords": [[0.0000, 0.0000, 0.0000], [0.5000, 0.5000, 0.5000], [0.0000, 0.5000, 0.0000], [0.0000, 0.0000, 0.5000], [0.5000, 0.0000, 0.0000]]
}

Record 3
{
  "formula": "Y2CuNiAs",
  "functional": "PBE-GGA",
  "state": "optimized geometry",
  "total_energy_ev_per_cell": -26.5,
  "formation_enthalpy_0k_ev_per_atom": 0.18,
  "magmom_total_mub_per_fu": 0.00,
  "rho_g_cm3": 5.2,
  "lattice": [[5.2810, 0.0000, 0.0000], [0.0000, 4.2827, 0.0000], [0.0000, 0.0000, 5.2810]],
  "species": ["Ni", "Cu", "Y", "Y", "As"],
  "frac_coords": [[0.5000, 0.5000, 0.5000], [0.0000, 0.0000, 0.0000], [0.0000, 0.0000, 0.5000], [0.5000, 0.0000, 0.0000], [0.0000, 0.5000, 0.0000]]
}

Record 4
{
  "formula": "Y2CuNi3As4",
  "functional": "PBE-GGA",
  "state": "optimized geometry",
  "total_energy_ev_per_cell": -60.3,
  "formation_enthalpy_0k_ev_per_atom": -0.74,
  "magmom_total_mub_per_fu": 0.00,
  "rho_g_cm3": 7.2,
  "lattice": [[4.1507, 0.0000, 0.0000], [0.0000, 4.1507, 0.0000], [0.0000, 0.0000, 9.6066]],
  "species": ["As", "As", "As", "As", "Y", "Y", "Ni", "Ni", "Ni", "Cu"],
  "frac_coords": [[0.0000, 0.5000, 0.3643], [0.5000, 0.0000, 0.6357], [0.0000, 0.0000, 0.0000], [0.5000, 0.5000, 0.0000], [0.0000, 0.5000, 0.7500], [0.5000, 0.0000, 0.2500], [0.0000, 0.5000, 0.1214], [0.5000, 0.0000, 0.8786], [0.0000, 0.0000, 0.5000], [0.5000, 0.5000, 0.5000]]
}